CaBeAg2 at its PBEsol-relaxed geometry, computed with SCAN.

Values from the calculation:
Symmetry   No. 38
VASP energy   -19.117 eV/atom
Fermi-level density of states   1.6 states/eV/cell
Calculated density   5.8 g/cm³
Energy relative to the elements   71 meV/atom

Unit cell a=4.2109 b=5.6831 c=5.6831 alpha=33.87 beta=90.00 gamma=90.00
Fractional positions:
Ca 0.0000 0.0000 0.0000
Be 0.5000 0.3542 0.3542
Ag 0.0000 0.2668 0.2668
Ag 0.5000 0.6764 0.6764

CaBeAg at its PBEsol-relaxed geometry, computed with SCAN.

Values from the calculation:
Symmetry   No. 216
VASP energy   -14.826 eV/atom
Fermi-level density of states   1.5 states/eV/cell
Calculated density   4.2 g/cm³
Energy relative to the elements   302 meV/atom
ΔE to the lowest computed polymorph   0.259 eV/atom

Unit cell a=4.4574 b=4.4574 c=4.4574 alpha=60.00 beta=60.00 gamma=60.00
Fractional positions:
Ca 0.0000 0.0000 0.0000
Be 0.2500 0.2500 0.2500
Ag 0.5000 0.5000 0.5000

CaBe3Ag at its PBEsol-relaxed geometry, computed with SCAN.

Values from the calculation:
Symmetry   No. 221
VASP energy   -8.671 eV/atom
Fermi-level density of states   2.8 states/eV/cell
Calculated density   2.3 g/cm³
Energy relative to the elements   2147 meV/atom

Unit cell a=5.0093 b=5.0093 c=5.0093 alpha=90.00 beta=90.00 gamma=90.00
Fractional positions:
Ca 0.0000 0.0000 0.0000
Be 0.0000 0.0000 0.5000
Be 0.0000 0.5000 0.0000
Be 0.5000 0.0000 0.0000
Ag 0.5000 0.5000 0.5000

CaBeAg3 at its PBEsol-relaxed geometry, computed with SCAN.

Values from the calculation:
Symmetry   No. 221
VASP energy   -20.150 eV/atom
Fermi-level density of states   2.7 states/eV/cell
Calculated density   4.4 g/cm³
Energy relative to the elements   1474 meV/atom

Unit cell a=5.1944 b=5.1944 c=5.1944 alpha=90.00 beta=90.00 gamma=90.00
Fractional positions:
Ca 0.0000 0.0000 0.0000
Be 0.5000 0.5000 0.5000
Ag 0.0000 0.0000 0.5000
Ag 0.0000 0.5000 0.0000
Ag 0.5000 0.0000 0.0000

CaBeAg2 at its PBEsol-relaxed geometry, computed with SCAN.

Values from the calculation:
Symmetry   No. 123
VASP energy   -18.973 eV/atom
Fermi-level density of states   1.5 states/eV/cell
Calculated density   6.0 g/cm³
Energy relative to the elements   215 meV/atom

Unit cell a=4.3230 b=4.3230 c=3.9288 alpha=90.00 beta=90.00 gamma=90.00
Fractional positions:
Ca 0.0000 0.0000 0.0000
Be 0.5000 0.5000 0.0000
Ag 0.0000 0.5000 0.5000
Ag 0.5000 0.0000 0.5000

Ca2BeAgF at its PBEsol-relaxed geometry, computed with SCAN.

Values from the calculation:
Symmetry   No. 123
VASP energy   -11.679 eV/atom
Fermi-level density of states   3.1 states/eV/cell
Calculated density   2.6 g/cm³
Uncorrected formation energy   0.90 kcal/mol of atoms

Unit cell a=5.6876 b=5.6876 c=4.1907 alpha=90.00 beta=90.00 gamma=90.00
Fractional positions:
Ca 0.0000 0.5000 0.0000
Ca 0.5000 0.0000 0.0000
Be 0.0000 0.0000 0.5000
Ag 0.5000 0.5000 0.0000
F 0.5000 0.5000 0.5000

BeCdAg2 at its PBEsol-relaxed geometry, computed with SCAN.

Values from the calculation:
Symmetry   No. 123
VASP energy   -24.205 eV/atom
Fermi-level density of states   0.9 states/eV/cell
Calculated density   9.0 g/cm³
Energy relative to the elements   170 meV/atom
ΔE to the lowest computed polymorph   0.092 eV/atom

Unit cell a=4.4232 b=4.4232 c=3.1915 alpha=90.00 beta=90.00 gamma=90.00
Fractional positions:
Be 0.0000 0.0000 0.0000
Cd 0.5000 0.5000 0.0000
Ag 0.0000 0.5000 0.5000
Ag 0.5000 0.0000 0.5000

BeCdAg2 at its PBEsol-relaxed geometry, computed with SCAN.

Values from the calculation:
Symmetry   No. 10
VASP energy   -24.252 eV/atom
Fermi-level density of states   1.1 states/eV/cell
Calculated density   9.0 g/cm³
Energy relative to the elements   123 meV/atom
ΔE to the lowest computed polymorph   0.045 eV/atom

Unit cell a=2.8543 b=3.8967 c=5.6935 alpha=90.00 beta=101.93 gamma=90.00
Fractional positions:
Be 0.0000 0.0000 0.0000
Cd 0.0000 0.0000 0.5000
Ag 0.3853 0.5000 0.2198
Ag 0.6147 0.5000 0.7802